(1)
Crystalline ReHg2Ru at its relaxed geometry, computed with PBE.

Cell: 4.933 4.933 2.898 Å, 90.00 90.00 90.00°
Each line ends with the local moment (μB).
Sites, in units of the cell vectors:
Re  0.500  0.000  0.500  0.41
Hg  0.000  0.000  0.000  0.01
Hg  0.500  0.500  0.000  0.01
Ru  0.000  0.500  0.500  1.49

Values from the calculation:
* calculated volume: 17.6 Å³ per atom
* symmetry: No. 123

(2)
Crystalline ReHg2Ru at its relaxed geometry, computed with PBE.

Cell: 3.510 3.510 9.556 Å, 72.34 72.34 47.67°
Sites, in units of the cell vectors:
Hg  0.719  0.719  0.728
Hg  0.029  0.029  0.023
Re  0.464  0.464  0.458
Ru  0.288  0.288  0.291

Values from the calculation:
* calculated volume: 20.5 Å³ per atom
* symmetry: No. 8

(3)
Crystalline ReHg2Ru at its relaxed geometry, computed with PBE.

Cell: 2.911 2.911 8.971 Å, 73.50 90.00 90.00°
Sites, in units of the cell vectors:
Re  0.000  0.452  0.536
Hg  0.500  0.174  0.279
Hg  0.000  0.078  0.970
Ru  0.500  0.796  0.715

Values from the calculation:
* calculated volume: 18.2 Å³ per atom
* symmetry: No. 6

(4)
Crystalline ReHg2Ru at its relaxed geometry, computed with PBE.

Cell: 9.528 9.528 9.528 Å, 17.64 17.64 17.64°
Each line ends with the local moment (μB).
Sites, in units of the cell vectors:
Re  0.250  0.250  0.250  -0.01
Hg  0.001  0.001  0.001  0.00
Hg  0.499  0.499  0.499  0.00
Ru  0.750  0.750  0.750  0.10

Values from the calculation:
* calculated volume: 17.3 Å³ per atom
* symmetry: No. 166

Which of them is the most stable, and which is the least stable? (3) and (1), in that order.